Record 1
# Li4HPb | Alexandria via LeMat-Bulk | PBE | optimized geometry
# **Total DFT energy (no corrections)**: -2.718 eV/atom
data_Li4HPb
_chemical_formula_sum 'Li16 H4 Pb4'
_symmetry_space_group_name_H-M 'C 1 2/m 1'
_symmetry_Int_Tables_number 12
_symmetry_space_group_name_Hall '-C 2y'
_cell_length_a 14.103
_cell_length_b 5.892
_cell_length_c 4.905
_cell_angle_alpha 90.00
_cell_angle_beta 108.01
_cell_angle_gamma 90.00
loop_
_atom_site_label
_atom_site_fract_x
_atom_site_fract_y
_atom_site_fract_z
Li1 0.000 0.234 0.000
Li2 0.124 0.240 0.658
Li3 0.191 0.000 0.159
H1 0.063 0.000 0.831
Pb1 0.185 0.500 0.232


Record 2
# LiHPb | Alexandria via LeMat-Bulk | PBE | optimized geometry
# **Polymorph energy (0 for the lowest one)**: 0.01 eV/f.u.
# **Total DFT energy (no corrections)**: -3.016 eV/atom
data_LiHPb
_chemical_formula_sum 'Li1 H1 Pb1'
_symmetry_space_group_name_H-M 'P -6 m 2'
_symmetry_Int_Tables_number 187
_symmetry_space_group_name_Hall 'P -6 2'
_cell_length_a 3.2447
_cell_length_b 3.2447
_cell_length_c 6.6159
_cell_angle_alpha 90.00
_cell_angle_beta 90.00
_cell_angle_gamma 120.00
loop_
_atom_site_label
_atom_site_fract_x
_atom_site_fract_y
_atom_site_fract_z
Li1 0.0000 0.0000 0.0000
H1 0.6667 0.3333 0.0000
Pb1 0.3333 0.6667 0.5000


Please write out number 2 again, unchanged.
# LiHPb | Alexandria via LeMat-Bulk | PBE | optimized geometry
# **Polymorph energy (0 for the lowest one)**: 0.01 eV/f.u.
# **Total DFT energy (no corrections)**: -3.016 eV/atom
data_LiHPb
_chemical_formula_sum 'Li1 H1 Pb1'
_symmetry_space_group_name_H-M 'P -6 m 2'
_symmetry_Int_Tables_number 187
_symmetry_space_group_name_Hall 'P -6 2'
_cell_length_a 3.2447
_cell_length_b 3.2447
_cell_length_c 6.6159
_cell_angle_alpha 90.00
_cell_angle_beta 90.00
_cell_angle_gamma 120.00
loop_
_atom_site_label
_atom_site_fract_x
_atom_site_fract_y
_atom_site_fract_z
Li1 0.0000 0.0000 0.0000
H1 0.6667 0.3333 0.0000
Pb1 0.3333 0.6667 0.5000


Please write out number 2 again, unchanged.
# LiHPb | Alexandria via LeMat-Bulk | PBE | optimized geometry
# **Polymorph energy (0 for the lowest one)**: 0.01 eV/f.u.
# **Total DFT energy (no corrections)**: -3.016 eV/atom
data_LiHPb
_chemical_formula_sum 'Li1 H1 Pb1'
_symmetry_space_group_name_H-M 'P -6 m 2'
_symmetry_Int_Tables_number 187
_symmetry_space_group_name_Hall 'P -6 2'
_cell_length_a 3.2447
_cell_length_b 3.2447
_cell_length_c 6.6159
_cell_angle_alpha 90.00
_cell_angle_beta 90.00
_cell_angle_gamma 120.00
loop_
_atom_site_label
_atom_site_fract_x
_atom_site_fract_y
_atom_site_fract_z
Li1 0.0000 0.0000 0.0000
H1 0.6667 0.3333 0.0000
Pb1 0.3333 0.6667 0.5000


Q: total DFT energy (no corrections) of number 1 (Li4HPb)?
A: -2.718 eV/atom